Compound: Tm2Fe3Co
Source: Alexandria via LeMat-Bulk
Functional: PBE
Structure: relaxed

Calculated values
final energy = -42.62 eV for the cell shown
total magnetization = 6.64 μB/cell
N(E_F) = 4.24 states/eV/cell
calculated formation energy = -197 meV/atom

Unit cell a=5.0875 b=5.0875 c=5.0875 alpha=60.10 beta=60.10 gamma=60.10
Atoms (fractional coordinates):
Tm 0.1253 0.1253 0.1253
Tm 0.8747 0.8747 0.8747
Fe 0.0000 0.5000 0.5000
Fe 0.5000 0.0000 0.5000
Fe 0.5000 0.5000 0.0000
Co 0.5000 0.5000 0.5000